(1)
# Sc2TeS6, optimized geometry, DFT GGA-PBE
# Formation energy from raw total energies ... -0.846 eV/atom
# Final energy ... -5.354 eV/atom
# Density of states at the Fermi level ... 4.2 states/eV/f.u.
data_Sc2TeS6
_chemical_formula_sum 'Sc4 Te2 S12'
_cell_length_a 14.498
_cell_length_b 3.663
_cell_length_c 8.796
_cell_angle_alpha 90.00
_cell_angle_beta 107.64
_cell_angle_gamma 90.00
_space_group_name_H-M_alt 'C 1 2/m 1'
_space_group_IT_number 12
loop_
_space_group_symop_operation_xyz
'x,y,z'
'-x,-y,-z'
'-x,y,-z'
'x,-y,z'
'x+1/2,y+1/2,z'
'-x+1/2,-y+1/2,-z'
'-x+1/2,y+1/2,-z'
'x+1/2,-y+1/2,z'
loop_
_atom_site_label
_atom_site_type_symbol
_atom_site_fract_x
_atom_site_fract_y
_atom_site_fract_z
Sc1 Sc 0.163 0.000 0.358
Te1 Te 0.000 0.500 0.000
S1 S 0.026 0.000 0.808
S2 S 0.155 0.500 0.554
S3 S 0.176 0.500 0.151

***

(2)
# Tb4BSe3, optimized geometry, DFT GGA-PBE
# Formation energy from raw total energies ... -1.462 eV/atom
# Final energy ... -5.919 eV/atom
# Density of states at the Fermi level ... 1.9 states/eV/f.u.
data_Tb4BSe3
_chemical_formula_sum 'Tb8 B2 Se6'
_cell_length_a 8.187
_cell_length_b 11.450
_cell_length_c 3.997
_cell_angle_alpha 90.00
_cell_angle_beta 90.00
_cell_angle_gamma 90.00
_space_group_name_H-M_alt 'C m m m'
_space_group_IT_number 65
_space_group_name_Hall '-C 2 2'
loop_
_atom_site_label
_atom_site_type_symbol
_atom_site_fract_x
_atom_site_fract_y
_atom_site_fract_z
Tb1 Tb 0.000 0.229 0.000
Tb2 Tb 0.220 0.000 0.500
B1 B 0.000 0.000 0.000
Se1 Se 0.000 0.500 0.000
Se2 Se 0.250 0.250 0.500

***

(3)
# Pa4CS5, optimized geometry, DFT GGA-PBE
# Formation energy from raw total energies ... -1.335 eV/atom
# Final energy ... -8.119 eV/atom
# Density of states at the Fermi level ... 9.8 states/eV/f.u.
data_Pa4CS5
_chemical_formula_sum 'Pa8 C2 S10'
_cell_length_a 16.678
_cell_length_b 3.808
_cell_length_c 7.541
_cell_angle_alpha 90.00
_cell_angle_beta 104.04
_cell_angle_gamma 90.00
_space_group_name_H-M_alt 'C 1 2/m 1'
_space_group_IT_number 12
loop_
_space_group_symop_operation_xyz
'x,y,z'
'-x,-y,-z'
'-x,y,-z'
'x,-y,z'
'x+1/2,y+1/2,z'
'-x+1/2,-y+1/2,-z'
'-x+1/2,y+1/2,-z'
'x+1/2,-y+1/2,z'
loop_
_atom_site_label
_atom_site_type_symbol
_atom_site_fract_x
_atom_site_fract_y
_atom_site_fract_z
Pa1 Pa 0.003 0.000 0.271
Pa2 Pa 0.157 0.500 0.588
C1 C 0.000 0.500 0.500
S1 S 0.000 0.500 0.000
S2 S 0.164 0.000 0.840
S3 S 0.172 0.000 0.335

***

(4)
# UPaGeMo, optimized geometry, DFT GGA-PBE
# Final energy ... -8.932 eV/atom
# DFT formation energy ... 0.13 eV/atom
# Density of states at the Fermi level ... 9.6 states/eV/f.u.
data_UPaGeMo
_chemical_formula_sum 'U4 Pa4 Ge4 Mo4'
_cell_length_a 6.808
_cell_length_b 6.808
_cell_length_c 6.808
_cell_angle_alpha 90.00
_cell_angle_beta 90.00
_cell_angle_gamma 90.00
_space_group_name_H-M_alt 'F -4 3 m'
_space_group_IT_number 216
_space_group_name_Hall 'F -4 2 3'
loop_
_atom_site_label
_atom_site_type_symbol
_atom_site_fract_x
_atom_site_fract_y
_atom_site_fract_z
U1 U 0.000 0.000 0.000
Pa1 Pa 0.250 0.250 0.250
Ge1 Ge 0.000 0.000 0.500
Mo1 Mo 0.250 0.250 0.750